Record 1
{"formula": "Tb6Pm2HoSc3", "functional": "PBE-GGA", "state": "relaxed", "cell": [[-6.033, -0.321, 0.697], [3.291, -5.100, -0.376], [2.214, 1.814, 11.162]], "species": ["Tb", "Tb", "Tb", "Tb", "Tb", "Tb", "Pm", "Pm", "Ho", "Sc", "Sc", "Sc"], "frac_coords": [[0.913, 0.580, 0.739], [0.754, 0.754, 0.261], [0.087, 0.420, 0.261], [0.580, 0.913, 0.739], [0.246, 0.246, 0.739], [0.420, 0.087, 0.261], [0.333, 0.667, 0.000], [0.667, 0.333, 0.000], [0.000, 0.000, 0.000], [0.166, 0.834, 0.500], [0.834, 0.166, 0.500], [0.500, 0.500, 0.500]], "total_magnetization_mub_per_atom": 0.00, "space_group": "No. 12", "delta_e_f_ev_per_atom": 0.045}


Record 2
{"formula": "Pm3Mg3Ge8", "functional": "PBE-GGA", "state": "relaxed", "cell": [[-1.534, -3.004, 2.035], [3.404, 1.531, 8.638], [-5.987, 4.392, 5.781]], "species": ["Pm", "Pm", "Pm", "Mg", "Mg", "Mg", "Ge", "Ge", "Ge", "Ge", "Ge", "Ge", "Ge", "Ge"], "frac_coords": [[0.500, 0.500, 0.500], [0.789, 0.211, 0.211], [0.211, 0.789, 0.789], [0.500, 0.000, 0.000], [0.000, 0.780, 0.220], [0.000, 0.220, 0.780], [0.633, 0.068, 0.665], [0.367, 0.932, 0.335], [0.633, 0.665, 0.068], [0.367, 0.335, 0.932], [0.850, 0.784, 0.517], [0.150, 0.216, 0.483], [0.850, 0.517, 0.784], [0.150, 0.483, 0.216]], "total_magnetization_mub_per_atom": 0.00, "space_group": "No. 71", "delta_e_f_ev_per_atom": -0.354}